No. 1
Computed, not measured: ZrTa2B4 after structural relaxation at the GGA-PBE level of DFT.

Calculated values
The space group is Immm. For the volume, the calculation gives 76.5 Å³ per cell. As for the total energy: -9.293 eV/atom.

Unit cell a=3.171 b=3.390 c=7.482 alpha=103.10 beta=102.23 gamma=90.00
Fractional positions:
B  0.635  0.635  0.270
B  0.365  0.365  0.730
B  0.066  0.566  0.132
B  0.934  0.434  0.868
Zr  0.500  0.000  0.000
Ta  0.814  0.814  0.627
Ta  0.186  0.186  0.373


No. 2
Computed, not measured: ZrTa3B after structural relaxation at the GGA-PBE level of DFT.

Calculated values
The space group is Pm-3m. As for the offset from the most stable computed form: 0 meV per atom. For the volume, the calculation gives 88.4 Å³ per cell.

Unit cell a=4.455 b=4.455 c=4.455 alpha=90.00 beta=90.00 gamma=90.00
Fractional positions:
B  0.000  0.000  0.000
Zr  0.500  0.500  0.500
Ta  0.000  0.500  0.000
Ta  0.000  0.000  0.500
Ta  0.500  0.000  0.000


No. 3
Computed, not measured: ZrTaB3 after structural relaxation at the GGA-PBE level of DFT.

Calculated values
The space group is Pm-3m. As for the offset from the most stable computed form: 1608 meV per atom. For the volume, the calculation gives 72.1 Å³ per cell.

Unit cell a=4.162 b=4.162 c=4.162 alpha=90.00 beta=90.00 gamma=90.00
Fractional positions:
B  0.000  0.500  0.000
B  0.000  0.000  0.500
B  0.500  0.000  0.000
Zr  0.500  0.500  0.500
Ta  0.000  0.000  0.000


No. 4
Computed, not measured: Zr3TaB after structural relaxation at the GGA-PBE level of DFT.

Calculated values
The space group is Pm-3m. As for the offset from the most stable computed form: 1682 meV per atom. For the volume, the calculation gives 130.2 Å³ per cell.

Unit cell a=5.069 b=5.069 c=5.069 alpha=90.00 beta=90.00 gamma=90.00
Fractional positions:
B  0.500  0.500  0.500
Zr  0.000  0.500  0.000
Zr  0.000  0.000  0.500
Zr  0.500  0.000  0.000
Ta  0.000  0.000  0.000


No. 5
Computed, not measured: ZrTa3B after structural relaxation at the GGA-PBE level of DFT.

Calculated values
The space group is Pm-3m. As for the offset from the most stable computed form: 2869 meV per atom. For the volume, the calculation gives 115.6 Å³ per cell.

Unit cell a=4.872 b=4.872 c=4.872 alpha=90.00 beta=90.00 gamma=90.00
Fractional positions:
B  0.500  0.500  0.500
Zr  0.000  0.000  0.000
Ta  0.000  0.500  0.000
Ta  0.000  0.000  0.500
Ta  0.500  0.000  0.000


No. 6
Computed, not measured: ZrTaB3 after structural relaxation at the GGA-PBE level of DFT.

Calculated values
The space group is Pm-3m. As for the offset from the most stable computed form: 2514 meV per atom. For the volume, the calculation gives 70.9 Å³ per cell.

Unit cell a=4.139 b=4.139 c=4.139 alpha=90.00 beta=90.00 gamma=90.00
Fractional positions:
B  0.000  0.500  0.000
B  0.000  0.000  0.500
B  0.500  0.000  0.000
Zr  0.000  0.000  0.000
Ta  0.500  0.500  0.500


The evaluated mass density for the records listed, in turn: 10.8, 12.1, 7.0, 5.9, 9.3, 7.1 g cm⁻³.